# 1
Compound: Li2CaPtO
Source: Alexandria
Functional: PBE
Structure: optimized geometry

Structure (extended XYZ):
```
5
Lattice="4.061 0.000 0.000 0.000 4.061 0.000 0.000 0.000 4.663" Properties=species:S:1:pos:R:3 pbc="T T T"
Li 0.000 2.030 0.000
Li 2.030 0.000 0.000
Ca 0.000 0.000 2.332
Pt 2.030 2.030 2.332
O 0.000 0.000 0.000
```


# 2
Compound: Li3Ca2PtO6
Source: Alexandria
Functional: PBE
Structure: optimized geometry

Structure (extended XYZ):
```
12
Lattice="2.766 -5.019 0.000 2.766 5.019 0.000 -1.618 0.000 5.023" Properties=species:S:1:pos:R:3 pbc="T T T"
Li 0.000 0.000 0.000
Li 2.766 1.257 0.000
Li 2.766 -1.257 0.000
Ca 1.957 3.321 2.512
Ca 1.957 -3.321 2.512
Pt 1.957 0.000 2.512
O 1.165 1.438 1.295
O 0.282 0.000 3.699
O 1.165 -1.438 1.295
O 2.749 1.438 3.728
O 3.632 0.000 1.325
O 2.749 -1.438 3.728
```


# 3
Compound: Li3Ca2PuO6
Source: Alexandria
Functional: PBE
Structure: optimized geometry

Structure (extended XYZ):
```
12
Lattice="2.876 -5.144 0.000 2.876 5.144 0.000 -1.740 0.000 5.105" Properties=species:S:1:pos:R:3 pbc="T T T"
Li 0.000 0.000 0.000
Li 2.876 1.370 0.000
Li 2.876 -1.370 0.000
Ca 2.006 3.410 2.552
Ca 2.006 -3.410 2.552
Pu 2.006 0.000 2.552
O 1.151 1.536 1.349
O 0.213 0.000 3.784
O 1.151 -1.536 1.349
O 2.862 1.536 3.755
O 3.799 0.000 1.320
O 2.862 -1.536 3.755
```


# 4
Compound: Li2CaPuO4
Source: Alexandria
Functional: PBE
Structure: optimized geometry

Structure (extended XYZ):
```
16
Lattice="4.495 0.000 0.000 0.000 4.495 0.000 0.000 0.000 10.392" Properties=species:S:1:pos:R:3 pbc="T T T"
Li 0.000 0.000 0.000
Li 0.000 2.247 2.598
Li 2.247 0.000 7.794
Li 2.247 2.247 5.196
Ca 0.000 2.247 7.794
Ca 2.247 0.000 2.598
Pu 0.000 0.000 5.196
Pu 2.247 2.247 0.000
O 0.000 0.000 3.015
O 0.000 0.000 7.377
O 0.000 2.247 5.324
O 0.000 2.247 10.264
O 2.247 0.000 0.128
O 2.247 0.000 5.068
O 2.247 2.247 2.181
O 2.247 2.247 8.211
```


# 5
Compound: Li2Ca3PuO6
Source: Alexandria
Functional: PBE
Structure: optimized geometry

Structure (extended XYZ):
```
12
Lattice="2.882 -5.012 0.000 2.882 5.012 0.000 -1.867 0.000 5.432" Properties=species:S:1:pos:R:3 pbc="T T T"
Li 2.882 3.371 0.000
Li 2.882 -3.371 0.000
Ca -0.934 0.000 2.716
Ca 1.949 1.755 2.716
Ca 1.949 -1.755 2.716
Pu 2.882 0.000 0.000
O 0.077 1.585 4.103
O 1.086 0.000 1.318
O 0.077 -1.585 4.103
O 3.821 1.585 1.329
O 2.811 0.000 4.114
O 3.821 -1.585 1.329
```


# 6
Compound: LiCa2PuO6
Source: Alexandria
Functional: PBE
Structure: optimized geometry

Structure (extended XYZ):
```
20
Lattice="5.585 0.000 0.000 0.000 5.768 0.000 -5.327 0.000 8.106" Properties=species:S:1:pos:R:3 pbc="T T T"
Li 0.000 0.000 0.000
Li -2.663 2.884 4.053
Ca -2.734 0.333 6.008
Ca -0.071 2.551 1.955
Ca 0.329 3.217 6.151
Ca 2.992 5.435 2.098
Pu 0.129 0.000 4.053
Pu 2.793 2.884 0.000
O -1.494 1.121 3.647
O -4.157 1.763 7.700
O -0.939 4.150 3.473
O -3.603 4.501 7.527
O 0.735 0.297 2.167
O -1.929 2.587 6.221
O 2.187 3.180 1.886
O -0.477 5.471 5.939
O 3.861 1.266 0.580
O 1.197 1.618 4.633
O 4.415 4.005 0.407
O 1.752 4.647 4.460
```


# 7
Compound: LiCaRe2O8
Source: Alexandria
Functional: PBE
Structure: optimized geometry

Structure (extended XYZ):
```
12
Lattice="4.560 -2.996 0.000 4.560 2.996 0.000 -0.237 0.000 7.038" Properties=species:S:1:pos:R:3 pbc="T T T"
Li 0.000 0.000 0.000
Ca -0.119 0.000 3.519
Re 3.159 0.000 1.681
Re 5.724 0.000 5.356
O 4.198 1.464 1.693
O 2.052 0.000 0.323
O 2.177 0.000 3.159
O 4.685 1.464 5.345
O 4.198 -1.464 1.693
O 6.706 0.000 3.879
O 6.830 0.000 6.715
O 4.685 -1.464 5.345
```


# 8
Compound: LiCaRhO3
Source: Alexandria
Functional: PBE
Structure: optimized geometry

Structure (extended XYZ):
```
12
Lattice="6.336 0.000 0.000 0.000 3.232 0.000 -1.775 0.000 6.553" Properties=species:S:1:pos:R:3 pbc="T T T"
Li 0.487 0.808 0.622
Li 4.074 2.424 5.931
Ca 0.061 0.808 4.873
Ca 4.500 2.424 1.680
Rh 1.457 2.424 2.240
Rh 3.105 0.808 4.313
O 0.106 0.808 2.453
O 1.307 2.424 0.093
O 1.743 2.424 4.308
O 2.818 0.808 2.244
O 3.255 0.808 6.460
O 4.456 2.424 4.100
```


# 9
Compound: LiCa3Rh3O8
Source: Alexandria
Functional: PBE
Structure: optimized geometry

Structure (extended XYZ):
```
15
Lattice="3.176 1.834 5.012 -3.176 1.834 5.012 0.000 -3.667 5.012" Properties=species:S:1:pos:R:3 pbc="T T T"
Li 0.000 0.000 0.000
Ca -3.176 0.000 7.518
Ca -1.588 0.917 2.506
Ca 1.588 0.917 2.506
Rh -1.588 -0.917 5.012
Rh -1.588 0.917 10.024
Rh 0.000 1.834 5.012
O 0.000 -1.824 6.080
O -1.579 0.912 6.080
O -1.579 -0.912 8.956
O 0.000 0.000 4.008
O 0.000 0.000 11.028
O 1.579 0.912 6.080
O 1.579 -0.912 8.956
O 0.000 1.824 8.956
```


# 10
Compound: LiCa2RhO
Source: Alexandria
Functional: PBE
Structure: optimized geometry

Structure (extended XYZ):
```
5
Lattice="4.739 0.000 0.000 0.000 4.739 0.000 0.000 0.000 3.901" Properties=species:S:1:pos:R:3 pbc="T T T"
Li 0.000 0.000 0.000
Ca 0.000 2.369 1.951
Ca 2.369 0.000 1.951
Rh 2.369 2.369 0.000
O 0.000 0.000 1.951
```


# 11
Compound: LiCa2RhO6
Source: Alexandria
Functional: PBE
Structure: optimized geometry

Structure (extended XYZ):
```
20
Lattice="5.403 0.000 0.000 0.000 5.691 0.000 -5.350 0.000 7.615" Properties=species:S:1:pos:R:3 pbc="T T T"
Li 0.000 0.000 0.000
Li -2.675 2.845 3.807
Ca -2.752 0.401 5.692
Ca -0.077 2.445 1.884
Ca 0.130 3.246 5.730
Ca 2.805 5.290 1.923
Rh 0.027 0.000 3.807
Rh 2.701 2.845 0.000
O -1.564 1.064 3.440
O -4.238 1.781 7.247
O -0.954 4.062 3.410
O -3.628 4.475 7.218
O 0.536 0.155 1.952
O -2.139 2.691 5.760
O 2.192 3.000 1.855
O -0.483 5.536 5.663
O 3.682 1.216 0.397
O 1.007 1.629 4.205
O 4.292 3.910 0.368
O 1.617 4.627 4.175
```


# 12
Compound: LiCa2RuO
Source: Alexandria
Functional: PBE
Structure: optimized geometry

Structure (extended XYZ):
```
5
Lattice="4.927 0.000 0.000 0.000 4.927 0.000 0.000 0.000 3.975" Properties=species:S:1:pos:R:3 pbc="T T T"
Li 0.000 0.000 0.000
Ca 0.000 2.463 1.987
Ca 2.463 0.000 1.987
Ru 2.463 2.463 0.000
O 2.463 2.463 1.987
```


# 13
Compound: Li2CaRuO4
Source: Alexandria
Functional: PBE
Structure: optimized geometry

Structure (extended XYZ):
```
16
Lattice="4.327 0.000 0.000 0.000 4.327 0.000 0.000 0.000 9.490" Properties=species:S:1:pos:R:3 pbc="T T T"
Li 0.000 0.000 0.000
Li 0.000 2.163 2.372
Li 2.163 0.000 7.117
Li 2.163 2.163 4.745
Ca 0.000 2.163 7.117
Ca 2.163 0.000 2.372
Ru 0.000 0.000 4.745
Ru 2.163 2.163 0.000
O 0.000 0.000 2.785
O 0.000 0.000 6.704
O 0.000 2.163 0.029
O 0.000 2.163 4.716
O 2.163 0.000 4.773
O 2.163 0.000 9.461
O 2.163 2.163 1.959
O 2.163 2.163 7.530
```


# 14
Compound: Li2CaRuO6
Source: Alexandria
Functional: PBE
Structure: optimized geometry

Structure (extended XYZ):
```
20
Lattice="5.332 0.000 0.000 0.000 5.451 0.000 -5.228 0.000 7.830" Properties=species:S:1:pos:R:3 pbc="T T T"
Li -0.155 0.166 1.812
Li -2.770 2.560 5.727
Li 2.873 2.891 2.103
Li 0.259 5.285 6.018
Ca -2.614 0.000 3.915
Ca 0.000 2.725 0.000
Ru 2.666 0.000 0.000
Ru 0.052 2.725 3.915
O -3.206 0.548 6.101
O -0.592 2.178 2.187
O -1.628 3.440 4.322
O 0.986 4.735 0.407
O -0.508 1.081 4.609
O 2.106 1.645 0.694
O -2.003 3.806 7.136
O 0.611 4.370 3.221
O -0.883 0.715 7.422
O 1.731 2.010 3.508
O 0.695 3.273 5.643
O 3.310 4.903 1.728
```


# 15
Compound: LiCa2RuO
Source: Alexandria
Functional: PBE
Structure: optimized geometry

Structure (extended XYZ):
```
5
Lattice="5.338 0.000 0.000 0.000 5.338 0.000 0.000 0.000 3.230" Properties=species:S:1:pos:R:3 pbc="T T T"
Li 0.000 0.000 0.000
Ca 0.000 2.669 0.000
Ca 2.669 0.000 0.000
Ru 2.669 2.669 1.615
O 0.000 0.000 1.615
```


# 16
Compound: Li2CaSO
Source: Alexandria
Functional: PBE
Structure: optimized geometry

Structure (extended XYZ):
```
5
Lattice="3.992 0.000 0.000 0.000 3.992 0.000 0.000 0.000 4.648" Properties=species:S:1:pos:R:3 pbc="T T T"
Li 0.000 1.996 0.000
Li 1.996 0.000 0.000
Ca 0.000 0.000 2.324
S 1.996 1.996 2.324
O 0.000 0.000 0.000
```


# 17
Compound: LiCaS2O6
Source: Alexandria
Functional: PBE
Structure: optimized geometry

Structure (extended XYZ):
```
10
Lattice="2.577 1.488 5.572 -2.577 1.488 5.572 0.000 -2.976 5.572" Properties=species:S:1:pos:R:3 pbc="T T T"
Li 0.000 0.000 0.000
Ca 0.000 0.000 8.358
S 0.000 0.000 4.704
S 0.000 0.000 12.012
O -1.985 -0.186 6.976
O -0.832 -1.812 9.741
O 1.153 -1.626 6.976
O -1.153 1.626 9.741
O 0.832 1.812 6.976
O 1.985 0.186 9.741
```


# 18
Compound: Li2CaSO
Source: Alexandria
Functional: PBE
Structure: optimized geometry

Structure (extended XYZ):
```
5
Lattice="5.479 0.000 0.000 0.000 5.479 0.000 0.000 0.000 3.991" Properties=species:S:1:pos:R:3 pbc="T T T"
Li 0.000 2.740 0.000
Li 2.740 0.000 0.000
Ca 0.000 0.000 0.000
S 2.740 2.740 1.995
O 0.000 0.000 1.995
```


# 19
Compound: Li3CaS4O12
Source: Alexandria
Functional: PBE
Structure: optimized geometry

Structure (extended XYZ):
```
20
Lattice="5.099 2.944 2.585 -5.099 2.944 2.585 0.000 -5.888 2.585" Properties=species:S:1:pos:R:3 pbc="T T T"
Li -2.954 -0.772 2.585
Li 2.146 -2.172 2.585
Li 0.808 2.944 2.585
Ca 0.000 0.000 0.000
S -2.039 -3.531 3.878
S 0.000 0.000 3.878
S -2.039 3.531 3.878
S 4.077 0.000 3.878
O -3.233 -2.492 3.660
O -4.609 0.000 3.878
O -0.541 -4.046 4.097
O -3.233 2.492 4.097
O -1.436 0.000 3.878
O 2.304 -3.991 3.878
O 0.718 -1.243 3.878
O 0.718 1.243 3.878
O -0.541 4.046 3.660
O 3.775 -1.554 3.660
O 2.304 3.991 3.878
O 3.775 1.554 4.097
```


# 20
Compound: Li2CaSbO4
Source: Alexandria
Functional: PBE
Structure: optimized geometry

Structure (extended XYZ):
```
16
Lattice="5.363 0.000 0.000 0.000 5.363 0.000 0.000 0.000 7.150" Properties=species:S:1:pos:R:3 pbc="T T T"
Li 0.000 2.681 1.788
Li 0.000 2.681 5.363
Li 2.681 0.000 1.788
Li 2.681 0.000 5.363
Ca 0.000 0.000 0.000
Ca 2.681 2.681 3.575
Sb 0.000 0.000 3.575
Sb 2.681 2.681 0.000
O 1.216 1.216 4.648
O 1.216 4.147 2.502
O 1.465 1.465 1.073
O 1.465 3.897 6.077
O 3.897 1.465 6.077
O 3.897 3.897 1.073
O 4.147 1.216 2.502
O 4.147 4.147 4.648
```


# 21
Compound: LiCaSbO4
Source: Alexandria
Functional: PBE
Structure: optimized geometry

Structure (extended XYZ):
```
14
Lattice="-3.143 3.152 4.766 3.143 -3.152 4.766 3.143 3.152 -4.766" Properties=species:S:1:pos:R:3 pbc="T T T"
Li 0.000 0.000 0.000
Li 0.000 3.152 0.000
Ca 3.143 1.576 0.972
Ca 0.000 1.576 3.794
Sb 1.572 1.576 -2.383
Sb 1.572 -1.576 2.383
O 1.474 1.576 -0.440
O 1.669 -1.576 4.326
O 3.143 2.947 -2.396
O 3.143 -0.206 2.396
O 0.000 3.358 2.370
O 0.000 0.206 7.161
O 1.474 4.729 0.440
O 1.669 1.576 5.206
```


Number 1: size of the total moment 0.0 μB per cell, formation energy from raw total energies -1.312 eV/atom. Number 2: size of the total moment 1.0 μB per cell, formation energy from raw total energies -1.864 eV/atom. Number 3: size of the total moment 3.0 μB per cell, formation energy from raw total energies -2.526 eV/atom. Number 4: size of the total moment 8.0 μB per cell, formation energy from raw total energies -2.569 eV/atom. Number 5: size of the total moment 4.0 μB per cell, formation energy from raw total energies -2.672 eV/atom. Number 6: size of the total moment 2.0 μB per cell, formation energy from raw total energies -2.652 eV/atom. Number 7: size of the total moment 1.1 μB per cell, formation energy from raw total energies -1.936 eV/atom. Number 8: size of the total moment 0.0 μB per cell, formation energy from raw total energies -1.698 eV/atom. Number 9: size of the total moment 0.0 μB per cell, formation energy from raw total energies -1.625 eV/atom. Number 10: size of the total moment 0.0 μB per cell, formation energy from raw total energies -1.223 eV/atom. Number 11: size of the total moment 3.6 μB per cell, formation energy from raw total energies -1.654 eV/atom. Number 12: size of the total moment 0.0 μB per cell, formation energy from raw total energies -0.713 eV/atom. Number 13: size of the total moment 5.4 μB per cell, formation energy from raw total energies -1.739 eV/atom. Number 14: size of the total moment 0.0 μB per cell, formation energy from raw total energies -1.453 eV/atom. Number 15: size of the total moment 0.0 μB per cell, formation energy from raw total energies -0.296 eV/atom. Number 16: size of the total moment 0.0 μB per cell, formation energy from raw total energies -1.908 eV/atom. Number 17: size of the total moment 0.8 μB per cell, formation energy from raw total energies -1.742 eV/atom. Number 18: size of the total moment 0.0 μB per cell, formation energy from raw total energies -0.389 eV/atom. Number 19: size of the total moment 0.0 μB per cell, formation energy from raw total energies -1.247 eV/atom. Number 20: size of the total moment 0.0 μB per cell, formation energy from raw total energies -1.929 eV/atom. Number 21: size of the total moment 0.0 μB per cell, formation energy from raw total energies -2.041 eV/atom.